[1]
VASP calculation (PBE) on a geometry-optimized La3Ho3ErTe8 structure.

Lattice parameters (Å, degrees): 8.8197 8.8197 22.0269 90.00 90.00 120.00
Closest atoms and distances in Å follow each position.
Space group R-3m (No. 166, hexagonal axes)
One atom of each set of equivalent atoms:
La  0.0000  0.5000  0.0000 (multiplicity 9)  6 Te 3.22
Ho  0.0000  0.5000  0.5000 (multiplicity 9)  6 Te 3.06-3.07
Er  0.0000  0.0000  0.5000 (multiplicity 3)  6 Te 3.13
Te  0.0000  0.0000  0.2442 (multiplicity 6)  3 Ho 3.07, 3 La 3.22
Te  0.0067  0.5034  0.7543 (multiplicity 18)  2 Ho 3.06, 1 Er 3.13, 2 La 3.22

***

[2]
VASP calculation (PBE) on a geometry-optimized LaHo2Er4Th structure.

Computed properties:
* energy of formation from the pure elements: 0.0392 eV/atom

Lattice parameters (Å, degrees): 5.0556 5.0703 9.9386 90.00 90.00 90.00
Closest atoms and distances in Å follow each position.
Space group Pmmm (No. 47)
One atom of each set of equivalent atoms:
La  0.0000  0.0000  0.0000 (multiplicity 1)  4 Ho 3.58, 8 Er 3.59
Ho  0.0000  0.0000  0.5000 (multiplicity 1)  8 Er 3.50-3.51, 4 Th 3.58
Ho  0.5000  0.5000  0.0000 (multiplicity 1)  4 La 3.58, 8 Er 3.59-3.60
Er  0.0000  0.5000  0.2562 (multiplicity 2)  2 Th 3.50, 4 Ho 3.51-3.59, 4 Er 3.58, 2 La 3.59
Er  0.5000  0.0000  0.2566 (multiplicity 2)  4 Ho 3.50-3.60, 2 Th 3.50, 4 Er 3.58, 2 La 3.59
Th  0.5000  0.5000  0.5000 (multiplicity 1)  8 Er 3.50, 4 Ho 3.58

***

[3]
VASP calculation (PBE) on a geometry-optimized La2HoErTh structure.

Computed properties:
* energy of formation from the pure elements: 0.3253 eV/atom

Lattice parameters (Å, degrees): 9.1823 6.3293 6.4952 90.00 109.47 90.00
Closest atoms and distances in Å follow each position.
Space group P2/c (No. 13)
One atom of each set of equivalent atoms:
La  0.1840  0.1943  0.3398 (multiplicity 4)  1 La 3.19, 1 Th 3.35, 2 Er 3.39-3.44, 1 Ho 3.39
Ho  0.0000  0.3321  0.7500 (multiplicity 2)  8 La 3.39-3.74
Er  0.5000  0.0040  0.7500 (multiplicity 2)  2 Er 3.25, 4 La 3.39-3.44, 4 Th 3.53-3.58
Th  0.5000  0.5000  0.0000 (multiplicity 2)  2 Th 3.25, 2 La 3.35, 4 Er 3.53-3.58

***

[4]
VASP calculation (PBE) on a geometry-optimized LaHo3ErTh structure.

Computed properties:
* energy of formation from the pure elements: 0.0366 eV/atom

Lattice parameters (Å, degrees): 7.9877 5.0584 10.1416 90.00 109.00 90.00
Closest atoms and distances in Å follow each position.
Space group P2_1/m (No. 11)
One atom of each set of equivalent atoms:
La  0.1697  0.2500  0.2927 (multiplicity 2)  3 Er 3.56, 8 Ho 3.60-3.64, 1 Th 3.61
Ho  0.1706  0.7500  0.5450 (multiplicity 2)  1 Th 3.54, 3 Er 3.54-3.62, 5 Ho 3.56-3.65, 3 La 3.60-3.61
Ho  0.1761  0.7500  0.0424 (multiplicity 2)  3 Th 3.49-3.53, 1 Er 3.50, 5 Ho 3.57-3.71, 3 La 3.60-3.61
Ho  0.1773  0.2500  0.7937 (multiplicity 2)  3 Th 3.49-3.50, 1 Er 3.49, 6 Ho 3.56-3.71, 2 La 3.64
Er  0.4986  0.2500  0.6287 (multiplicity 2)  5 Ho 3.49-3.62, 3 La 3.56, 2 Th 3.58, 2 Er 3.64
Th  0.4983  0.7500  0.8783 (multiplicity 2)  7 Ho 3.49-3.54, 2 Th 3.53, 2 Er 3.58, 1 La 3.61

***

[5]
VASP calculation (PBE) on a geometry-optimized LaHoErTh structure.

Computed properties:
* energy of formation from the pure elements: 0.0138 eV/atom

Lattice parameters (Å, degrees): 3.6124 3.6124 10.0211 90.00 90.00 90.00
Closest atoms and distances in Å follow each position.
Space group P4mm (No. 99)
One atom of each set of equivalent atoms:
La  0.0000  0.0000  0.0000 (multiplicity 1)  4 La 3.61, 4 Er 3.66, 4 Ho 3.67
Ho  0.5000  0.5000  0.7369 (multiplicity 1)  4 Th 3.50, 4 Ho 3.61, 4 La 3.67
Er  0.5000  0.5000  0.2615 (multiplicity 1)  4 Th 3.49, 4 Er 3.61, 4 La 3.66
Th  0.0000  0.0000  0.4987 (multiplicity 1)  4 Er 3.49, 4 Ho 3.50, 4 Th 3.61

***

[6]
VASP calculation (PBE) on a geometry-optimized LaHo5Er2Th structure.

Computed properties:
* energy of formation from the pure elements: 0.1734 eV/atom

Lattice parameters (Å, degrees): 5.6198 19.9285 10.3828 90.00 90.00 90.00
Closest atoms and distances in Å follow each position.
Space group Cmc2_1 (No. 36)
One atom of each set of equivalent atoms:
La  0.0000  0.0862  0.0000 (multiplicity 4)  5 Ho 3.04-3.30
Ho  0.0000  0.0226  0.2932 (multiplicity 4)  2 La 3.05-3.30
Ho  0.0000  0.1141  0.5837 (multiplicity 4)  6 Ho 3.49-3.83, 4 Er 3.53-3.54, 1 Th 3.71
Ho  0.0000  0.2034  0.2685 (multiplicity 4)  4 Ho 3.35-3.73, 3 Th 3.45-3.73, 3 Er 3.54-3.64, 1 La 3.64
Ho  0.0000  0.2254  0.8790 (multiplicity 4)  1 La 3.04, 1 Er 3.25, 2 Ho 3.35
Ho  0.0000  0.4838  0.5831 (multiplicity 4)  2 La 3.25, 4 Er 3.33-3.62, 2 Ho 3.56
Er  0.0000  0.3857  0.2901 (multiplicity 4)  7 Ho 3.37-3.69, 1 Th 3.42, 2 La 3.60
Er  0.0000  0.3884  0.8769 (multiplicity 4)  9 Ho 3.25-3.59, 1 Th 3.59
Th  0.0000  0.3001  0.5759 (multiplicity 4)  2 Er 3.42-3.59, 8 Ho 3.45-3.73, 2 La 3.69

***

[7]
VASP calculation (PBE) on a geometry-optimized LaHoEr3Th structure.

Computed properties:
* energy of formation from the pure elements: 0.0369 eV/atom

Lattice parameters (Å, degrees): 7.9705 5.0543 10.1278 90.00 109.03 90.00
Closest atoms and distances in Å follow each position.
Space group P2_1/m (No. 11)
One atom of each set of equivalent atoms:
La  0.1694  0.2500  0.2923 (multiplicity 2)  3 Ho 3.56, 8 Er 3.59-3.63, 1 Th 3.61
Ho  0.4986  0.2500  0.6290 (multiplicity 2)  5 Er 3.49-3.62, 3 La 3.56, 2 Th 3.57, 2 Ho 3.64
Er  0.1699  0.7500  0.5450 (multiplicity 2)  1 Th 3.53, 3 Ho 3.54-3.62, 5 Er 3.56-3.64, 3 La 3.60
Er  0.1754  0.7500  0.0420 (multiplicity 2)  3 Th 3.48-3.53, 1 Ho 3.49, 5 Er 3.57-3.70, 3 La 3.59-3.60
Er  0.1768  0.2500  0.7938 (multiplicity 2)  3 Th 3.48-3.50, 1 Ho 3.49, 6 Er 3.56-3.70, 2 La 3.63
Th  0.4982  0.7500  0.8785 (multiplicity 2)  7 Er 3.48-3.53, 2 Th 3.52, 2 Ho 3.57, 1 La 3.61

***

[8]
VASP calculation (PBE) on a geometry-optimized LaHo2ErTh structure.

Computed properties:
* energy of formation from the pure elements: 0.2964 eV/atom

Lattice parameters (Å, degrees): 3.5178 5.6493 8.7066 90.00 90.07 90.00
Closest atoms and distances in Å follow each position.
Space group P2/m (No. 10)
One atom of each set of equivalent atoms:
La  0.0000  0.0000  0.0000 (multiplicity 1)  4 Th 3.33, 2 La 3.52
Ho  0.0015  0.5000  0.3221 (multiplicity 2)  1 Ho 3.10, 2 Th 3.31
Er  0.5000  0.0000  0.5000 (multiplicity 1)  2 Er 3.52, 8 Ho 3.67
Th  0.5000  0.5000  0.0000 (multiplicity 1)  4 Ho 3.31, 4 La 3.33, 2 Th 3.52

***

Values of density of states at the Fermi level, in order: 0.52; 1.58; 1.51; 1.64; 1.06; 1.62; 1.64; 1.69, all in states/eV per atom.
Values of calculated volume, in order: 32.97; 31.85; 35.59; 32.29; 32.69; 32.30; 32.14; 34.61, all in Å³/atom.
Values of raw total energy, in order: -5.3360; -4.9301; -4.9578; -5.0706; -5.3581; -4.7557; -5.0654; -4.9167, all in eV per atom.